First-principles (PBE-GGA) data for DyErInCo after structural relaxation, as listed in the Alexandria database.

Cell lengths 3.3544, 3.3544, 7.9605 Å; angles 90.00, 90.00, 90.00 degrees
Each line ends with the local moment (μB).
Element x y z (fractional)
Dy 0.5000 0.5000 0.7776  -0.12
Er 0.5000 0.5000 0.3654  -0.12
In 0.0000 0.0000 0.0737  0.02
Co 0.0000 0.0000 0.5679  0.72

Values from the calculation:
crystal system	tetragonal
space-group type	P4mm (99)
volume	22.4	A^3/atom
polymorph energy (0 for the lowest one)	0.0	meV per atom
formation enthalpy at 0 K	-0.327	eV/atom

First-principles (PBE-GGA) data for CaMgAu2 after structural relaxation, as listed in the Alexandria database.

Cell lengths 5.6324, 5.6324, 5.6324 Å; angles 139.37, 132.34, 64.38 degrees
Element x y z (fractional)
Au 0.7618 0.2618 0.5000
Au 0.0033 0.0033 0.0000
Ca 0.5025 0.5025 0.0000
Mg 0.2324 0.7324 0.5000

Values from the calculation:
crystal system	orthorhombic
space-group type	Imm2 (44)
volume	21.2	A^3/atom
formation enthalpy at 0 K	-0.553	eV/atom

First-principles (PBE-GGA) data for BaNaIn2 after structural relaxation, as listed in the Alexandria database.

Cell lengths 4.0108, 4.0108, 8.0743 Å; angles 90.00, 90.00, 90.00 degrees
Element x y z (fractional)
In 0.0000 0.0000 0.1981
Ba 0.5000 0.5000 0.5000
Na 0.5000 0.5000 0.0000
In 0.0000 0.0000 0.8019

Values from the calculation:
crystal system	tetragonal
space-group type	P4/mmm (123)
volume	32.5	A^3/atom
polymorph energy (0 for the lowest one)	0.0	meV per atom
formation enthalpy at 0 K	-0.246	eV/atom

First-principles (PBE-GGA) data for Nd3PdRh after structural relaxation, as listed in the Alexandria database.

Cell lengths 4.0082, 8.4225, 8.3573 Å; angles 107.73, 90.00, 90.00 degrees
Element x y z (fractional)
Nd 0.7500 0.0684 0.2536
Pd 0.7500 0.6581 0.7649
Nd 0.2500 0.6830 0.0389
Nd 0.2500 0.3581 0.6058
Nd 0.7500 0.6419 0.3942
Rh 0.2500 0.8939 0.3839
Nd 0.2500 0.9316 0.7464
Rh 0.7500 0.1061 0.6161
Nd 0.7500 0.3170 0.9611
Pd 0.2500 0.3419 0.2351

Values from the calculation:
crystal system	monoclinic
space-group type	P2_1/m (11)
volume	26.9	A^3/atom
polymorph energy (0 for the lowest one)	38.5	meV per atom
formation enthalpy at 0 K	-0.587	eV/atom